(1)
Here is an optimized crystal structure of YIn2Re from the Alexandria database. Energies are from PBE.

Lattice parameters (Å, degrees): 4.2585 4.2585 10.8512 78.68 78.68 90.00
Last column: nearest neighbours and their distance in Å.
Sites, in units of the cell vectors:
In 0.0960 0.6250 0.2500  2 In 2.84, 2 Re 2.97, 2 Y 3.06
In 0.6540 0.1250 0.2500  2 In 2.84, 2 Re 2.97, 2 Y 3.06
In 0.8750 0.9040 0.7500  2 In 2.84, 2 Re 2.97, 2 Y 3.06
In 0.3750 0.3460 0.7500  2 In 2.84, 2 Re 2.97, 2 Y 3.06
Y 0.5000 0.5000 0.0000  4 Re 3.01, 4 In 3.06
Y 0.2500 0.7500 0.5000  4 Re 3.01, 4 In 3.06
Re 0.0000 0.0000 0.0000  4 In 2.97, 4 Y 3.01
Re 0.7500 0.2500 0.5000  4 In 2.97, 4 Y 3.01

Results
E above lowest polymorph = 385 meV per atom
ΔH_f (0 K) = 191 kJ/mol of formula units
DOS at the Fermi energy = 4.398 states/eV/cell

(2)
Here is an optimized crystal structure of Y2InRe from the Alexandria database. Energies are from PBE.

Lattice parameters (Å, degrees): 4.6022 3.8516 5.8957 70.99 90.00 90.00
Last column: nearest neighbours and their distance in Å.
Sites, in units of the cell vectors:
Y 0.5000 0.2733 0.3283  3 Re 3.10-3.14, 4 In 3.13
Y 0.0000 0.9777 0.9198  3 In 3.09-3.16, 4 Re 3.12
Re 0.5000 0.5546 0.7654  2 In 2.78, 2 Y 3.10-3.11
In 0.0000 0.6944 0.4865  2 Re 2.78, 2 Y 3.09

Results
ΔH_f (0 K) = 24 kJ/mol of formula units
DOS at the Fermi energy = 5.351 states/eV/cell

(3)
Here is an optimized crystal structure of YInRe2 from the Alexandria database. Energies are from PBE.

Lattice parameters (Å, degrees): 5.7488 5.7488 5.7488 146.76 130.34 61.07
Last column: nearest neighbours and their distance in Å.
Sites, in units of the cell vectors:
In 0.7733 0.2733 0.5000  6 Re 2.96-2.98, 4 Y 3.22-3.26, 2 In 3.29
Re 0.0217 0.0217 0.0000  2 Re 2.53
Re 0.2161 0.7161 0.5000  2 Re 2.53
Y 0.4888 0.4888 0.0000  6 Re 2.94-3.16, 4 In 3.22-3.26, 2 Y 3.29

Results
ΔH_f (0 K) = 105 kJ/mol of formula units
DOS at the Fermi energy = 2.552 states/eV/cell

(4)
Here is an optimized crystal structure of YInRe2 from the Alexandria database. Energies are from PBE.

Lattice parameters (Å, degrees): 4.4420 4.1164 4.1164 90.00 90.00 90.00
Last column: nearest neighbours and their distance in Å.
Sites, in units of the cell vectors:
Re 0.0000 0.5000 0.5000  4 Re 2.91, 4 Y 3.03, 4 In 3.03
Re 0.0000 0.0000 0.0000  4 Re 2.91, 4 In 3.03, 4 Y 3.03
In 0.5000 0.0000 0.5000  4 Y 2.91, 8 Re 3.03
Y 0.5000 0.5000 0.0000  4 In 2.91, 8 Re 3.03

Results
ΔH_f (0 K) = 185 kJ/mol of formula units
DOS at the Fermi energy = 2.969 states/eV/cell

(5)
Here is an optimized crystal structure of Y2InRe from the Alexandria database. Energies are from PBE.

Lattice parameters (Å, degrees): 4.8353 4.8353 6.7044 80.90 80.90 39.80
Last column: nearest neighbours and their distance in Å.
Sites, in units of the cell vectors:
In 0.7500 0.7500 0.7500  6 Y 3.09-3.21, 2 In 3.29
Re 0.2500 0.2500 0.2500  6 Y 2.93-3.01
Y 0.5108 0.5108 0.4730  3 Re 2.93-3.01, 3 In 3.09-3.21
Y 0.9892 0.9892 0.0270  3 Re 2.93-3.01, 3 In 3.09-3.21

Results
ΔH_f (0 K) = 112 kJ/mol of formula units
DOS at the Fermi energy = 3.854 states/eV/cell

(6)
Here is an optimized crystal structure of YIn2Re from the Alexandria database. Energies are from PBE.

Lattice parameters (Å, degrees): 5.6040 5.6040 4.8268 66.21 66.21 39.10
Last column: nearest neighbours and their distance in Å.
Sites, in units of the cell vectors:
In 0.0052 0.0052 0.9859  4 Re 3.00-3.11, 3 In 3.11-3.18, 4 Y 3.19-3.29
In 0.7654 0.7654 0.7537  2 Re 2.89, 4 Y 3.06-3.08, 3 In 3.11-3.18
Y 0.2356 0.2356 0.2780  3 Re 2.98-3.27, 8 In 3.06-3.29
Re 0.4938 0.4938 0.4824  6 In 2.89-3.11, 2 Y 2.98

Results
E above lowest polymorph = 149 meV per atom
ΔH_f (0 K) = 99 kJ/mol of formula units
DOS at the Fermi energy = 3.085 states/eV/cell

(7)
Here is an optimized crystal structure of Y2InRe from the Alexandria database. Energies are from PBE.

Lattice parameters (Å, degrees): 4.9990 4.9990 4.9990 60.00 60.00 60.00
Last column: nearest neighbours and their distance in Å.
Sites, in units of the cell vectors:
Y 0.2500 0.2500 0.2500  4 In 3.06, 4 Y 3.06
Y 0.0000 0.0000 0.0000  4 Y 3.06, 4 Re 3.06
In 0.5000 0.5000 0.5000  4 Re 3.06, 4 Y 3.06
Re 0.7500 0.7500 0.7500  4 In 3.06, 4 Y 3.06

Results
ΔH_f (0 K) = 79 kJ/mol of formula units
DOS at the Fermi energy = 6.584 states/eV/cell

(8)
Here is an optimized crystal structure of YInRe2 from the Alexandria database. Energies are from PBE.

Lattice parameters (Å, degrees): 2.9112 2.9112 9.3643 90.00 90.00 109.88
Last column: nearest neighbours and their distance in Å.
Sites, in units of the cell vectors:
Re 0.0000 0.0000 0.5082  2 In 2.82, 4 Re 2.91, 2 Y 2.94
Re 0.0000 0.0000 0.9918  2 In 2.82, 4 Re 2.91, 2 Y 2.94
Y 0.5000 0.5000 0.2500  4 Y 2.91, 4 Re 2.94
In 0.5000 0.5000 0.7500  4 Re 2.82, 4 In 2.91

Results
ΔH_f (0 K) = 238 kJ/mol of formula units
DOS at the Fermi energy = 2.854 states/eV/cell

(9)
Here is an optimized crystal structure of YInRe2 from the Alexandria database. Energies are from PBE.

Lattice parameters (Å, degrees): 5.3112 5.3112 2.8976 90.00 90.00 112.23
Last column: nearest neighbours and their distance in Å.
Sites, in units of the cell vectors:
Y 0.5000 0.0000 0.5000  2 Y 2.90, 2 In 2.96, 8 Re 3.03
In 0.0000 0.5000 0.5000  2 In 2.90, 2 Y 2.96, 8 Re 3.03
Re 0.0000 0.0000 0.0000  4 Re 2.90-2.96, 4 In 3.03, 4 Y 3.03
Re 0.5000 0.5000 0.0000  4 Re 2.90-2.96, 4 Y 3.03, 4 In 3.03

Results
ΔH_f (0 K) = 258 kJ/mol of formula units
DOS at the Fermi energy = 4.989 states/eV/cell

(10)
Here is an optimized crystal structure of YInRe2 from the Alexandria database. Energies are from PBE.

Lattice parameters (Å, degrees): 3.1087 3.1087 8.2019 90.00 90.00 90.00
Last column: nearest neighbours and their distance in Å.
Sites, in units of the cell vectors:
In 0.5000 0.5000 0.7855  4 Re 3.03, 4 In 3.11
Re 0.5000 0.5000 0.2066  4 Re 2.59
Re 0.0000 0.0000 0.0390  4 Re 2.59
Y 0.0000 0.0000 0.4688  4 Re 3.08, 4 Y 3.11, 4 In 3.40

Results
ΔH_f (0 K) = -6 kJ/mol of formula units
DOS at the Fermi energy = 1.819 states/eV/cell

(11)
Here is an optimized crystal structure of YInRe2 from the Alexandria database. Energies are from PBE.

Lattice parameters (Å, degrees): 5.2888 5.2888 4.8811 70.23 70.23 42.78
Last column: nearest neighbours and their distance in Å.
Sites, in units of the cell vectors:
In 0.2500 0.2500 0.2500  6 Re 2.87-2.95, 4 Y 3.11
Re 0.9927 0.9927 0.1050  2 Re 2.43
Re 0.5073 0.5073 0.3950  2 Re 2.43
Y 0.7500 0.7500 0.7500  4 In 3.11, 8 Re 3.16-3.42

Results
ΔH_f (0 K) = 130 kJ/mol of formula units
DOS at the Fermi energy = 2.364 states/eV/cell

(12)
Here is an optimized crystal structure of Y2InRe from the Alexandria database. Energies are from PBE.

Lattice parameters (Å, degrees): 4.4940 4.4940 10.6211 77.79 77.79 90.00
Last column: nearest neighbours and their distance in Å.
Sites, in units of the cell vectors:
Re 0.7500 0.2500 0.5000  4 Y 2.96, 4 In 3.18
Re 0.0000 0.0000 0.0000  4 Y 2.96, 4 In 3.18
In 0.2500 0.7500 0.5000  4 Y 3.02, 4 Re 3.18
In 0.5000 0.5000 0.0000  4 Y 3.02, 4 Re 3.18
Y 0.1064 0.6250 0.2500  2 Re 2.96, 2 In 3.02, 4 Y 3.06-3.30
Y 0.6436 0.1250 0.2500  2 Re 2.96, 2 In 3.02, 4 Y 3.06-3.30
Y 0.8750 0.8936 0.7500  2 Re 2.96, 2 In 3.02, 4 Y 3.06-3.30
Y 0.3750 0.3564 0.7500  2 Re 2.96, 2 In 3.02, 4 Y 3.06-3.30

Results
ΔH_f (0 K) = 306 kJ/mol of formula units
DOS at the Fermi energy = 9.624 states/eV/cell